1.
## ScIn2 (PBE)

Data for crystalline ScIn2 at its relaxed geometry.

N(E_F) = 2.34 states/eV/f.u.
DFT total energy = -4.09 eV per atom

Lattice parameters (Å, degrees): 5.883 5.883 9.491 90.00 90.00 120.00
Fractional positions:
Sc1 0.333 0.667 0.074
Sc2 0.333 0.667 0.426
Sc3 0.667 0.333 0.574
Sc4 0.667 0.333 0.926
In1 0.000 0.000 0.000
In2 0.000 0.000 0.500
In3 0.173 0.347 0.750
In4 0.173 0.827 0.750
In5 0.347 0.173 0.250
In6 0.653 0.827 0.750
In7 0.827 0.173 0.250
In8 0.827 0.653 0.250

2.
## ScIn (PBE)

Data for crystalline ScIn at its relaxed geometry.

N(E_F) = 1.66 states/eV/f.u.
DFT total energy = -3.84 eV per atom

Lattice parameters (Å, degrees): 7.715 7.715 7.715 109.47 109.47 109.47
Fractional positions:
Sc1 0.000 0.000 0.610
Sc2 0.000 0.610 0.000
Sc3 0.390 0.390 0.390
Sc4 0.610 0.000 0.000
In1 0.000 0.000 0.245
In2 0.000 0.245 0.000
In3 0.245 0.000 0.000
In4 0.755 0.755 0.755

3.
## ScIn (PBE)

Data for crystalline ScIn at its relaxed geometry.

N(E_F) = 2.30 states/eV/f.u.
DFT total energy = -4.80 eV per atom

Lattice parameters (Å, degrees): 3.404 3.404 9.661 90.00 90.00 120.00
Fractional positions:
Sc1 0.000 0.000 0.000
Sc2 0.000 0.000 0.500
In1 0.333 0.667 0.250
In2 0.667 0.333 0.750

4.
## Sc5In4 (PBE)

Data for crystalline Sc5In4 at its relaxed geometry.

N(E_F) = 8.07 states/eV/f.u.
DFT total energy = -5.14 eV per atom

Lattice parameters (Å, degrees): 8.776 8.776 6.254 90.00 90.00 120.00
Fractional positions:
Sc1 0.000 0.294 0.250
Sc2 0.000 0.706 0.750
Sc3 0.294 0.000 0.250
Sc4 0.294 0.294 0.750
Sc5 0.333 0.667 0.000
Sc6 0.333 0.667 0.500
Sc7 0.667 0.333 0.000
Sc8 0.667 0.333 0.500
Sc9 0.706 0.000 0.750
Sc10 0.706 0.706 0.250
In1 0.000 0.000 0.000
In2 0.000 0.000 0.500
In3 0.000 0.371 0.750
In4 0.000 0.629 0.250
In5 0.371 0.000 0.750
In6 0.371 0.371 0.250
In7 0.629 0.000 0.250
In8 0.629 0.629 0.750